The following is a DFT calculation (GGA+U) of Li4AlCoO6 after structural relaxation.

Computed properties:
* total DFT energy (no corrections): -68.4 eV/cell
* crystal system: monoclinic
* space group: C2

Lattice parameters (Å, degrees): 4.865 4.865 4.969 99.55 99.55 119.97
Positions (direct):
Li (0.000, 0.000, 0.000)
Li (0.358, 0.642, 0.000)
Li (0.681, 0.319, 0.000)
Li (0.844, 0.156, 0.500)
Al (0.178, 0.822, 0.500)
Co (0.512, 0.488, 0.500)
O (0.129, 0.439, 0.272)
O (0.281, 0.235, 0.722)
O (0.410, 0.085, 0.275)
O (0.561, 0.871, 0.728)
O (0.765, 0.719, 0.278)
O (0.915, 0.590, 0.725)